Entry 1:
Computed, not measured: MgZn8Pt2 after structural relaxation at the PBE-GGA level of DFT.

Computed properties:
**Symmetry**: No. 12
**VASP energy**: -2.398 eV/atom
**Formation energy from the elements**: -0.228 eV per atom

a = 7.0502 Å, b = 7.0502 Å, c = 5.1962 Å
α = 97.69°, β = 97.69°, γ = 44.41°
Closest atoms and distances in Å follow each position.
Fractional coordinates of all 11 atoms:
Mg: 0.0000 0.0000 0.0000  8 Zn 2.75-2.94
Zn: 0.1532 0.6579 0.5658  2 Pt 2.60-2.65, 6 Zn 2.64-2.85, 1 Mg 2.75
Zn: 0.2413 0.2413 0.8097  4 Pt 2.53-2.73, 1 Zn 2.76
Zn: 0.3421 0.8468 0.4342  2 Pt 2.60-2.65, 6 Zn 2.64-2.85, 1 Mg 2.75
Zn: 0.4288 0.4288 0.1330  4 Zn 2.47-2.76, 1 Pt 2.60
Zn: 0.5712 0.5712 0.8670  4 Zn 2.47-2.76, 1 Pt 2.60
Zn: 0.6579 0.1532 0.5658  2 Pt 2.60-2.65, 6 Zn 2.64-2.85, 1 Mg 2.75
Zn: 0.7587 0.7587 0.1903  4 Pt 2.53-2.73, 1 Zn 2.76
Zn: 0.8468 0.3421 0.4342  2 Pt 2.60-2.65, 6 Zn 2.64-2.85, 1 Mg 2.75
Pt: 0.2503 0.2503 0.3003  9 Zn 2.53-2.73
Pt: 0.7497 0.7497 0.6997  9 Zn 2.53-2.73



Entry 2:
Computed, not measured: Na4Er3GaSe8 after structural relaxation at the PBE-GGA level of DFT.

Computed properties:
**Symmetry**: No. 166
**Raw formation energy**: -1.429 eV/atom
**VASP energy**: -4.545 eV/atom

a = 8.4318 Å, b = 8.4318 Å, c = 8.4318 Å
α = 57.50°, β = 57.50°, γ = 57.50°
Closest atoms and distances in Å follow each position.
Fractional coordinates of all 16 atoms:
Na: 0.0000 0.0000 0.0000  6 Se 3.13
Na: 0.0000 0.5000 0.5000  6 Se 3.01-3.02
Na: 0.5000 0.0000 0.5000  6 Se 3.01-3.02
Na: 0.5000 0.5000 0.0000  6 Se 3.01-3.02
Er: 0.0000 0.0000 0.5000  6 Se 2.84-2.85
Er: 0.0000 0.5000 0.0000  6 Se 2.84-2.85
Er: 0.5000 0.0000 0.0000  6 Se 2.84-2.85
Ga: 0.5000 0.5000 0.5000  6 Se 2.72
Se: 0.2429 0.2429 0.2429  3 Er 2.84, 3 Na 3.02
Se: 0.2553 0.7330 0.7330  1 Ga 2.72, 2 Er 2.85, 2 Na 3.01
Se: 0.2670 0.2670 0.7447  1 Ga 2.72, 2 Er 2.85, 2 Na 3.01
Se: 0.2670 0.7447 0.2670  1 Ga 2.72, 2 Er 2.85, 2 Na 3.01
Se: 0.7330 0.2553 0.7330  1 Ga 2.72, 2 Er 2.85, 2 Na 3.01
Se: 0.7330 0.7330 0.2553  1 Ga 2.72, 2 Er 2.85, 2 Na 3.01
Se: 0.7447 0.2670 0.2670  1 Ga 2.72, 2 Er 2.85, 2 Na 3.01
Se: 0.7571 0.7571 0.7571  3 Er 2.84, 3 Na 3.02



Entry 3:
Computed, not measured: CrSbWI2 after structural relaxation at the PBE-GGA level of DFT.

Computed properties:
**Symmetry**: No. 123
**ΔE to the lowest computed polymorph**: 0.000 kcal/mol of atoms
**Raw formation energy**: 1.093 eV/atom
**VASP energy**: -4.867 eV/atom

a = 5.6435 Å, b = 5.6435 Å, c = 5.2451 Å
α = 90.00°, β = 90.00°, γ = 90.00°
Closest atoms and distances in Å follow each position.
Fractional coordinates of all 5 atoms:
Cr: 0.0000 0.0000 0.0000  8 I 3.85, 4 Sb 3.99
Sb: 0.5000 0.5000 0.0000  2 W 2.62
W: 0.5000 0.5000 0.5000  2 Sb 2.62, 4 I 2.82
I: 0.0000 0.5000 0.5000  2 W 2.82
I: 0.5000 0.0000 0.5000  2 W 2.82



Entry 4:
Computed, not measured: La5Nd4Er2 after structural relaxation at the PBE-GGA level of DFT.

Computed properties:
**Symmetry**: No. 10
**ΔE to the lowest computed polymorph**: 0.000 kcal/mol of atoms
**VASP energy**: -4.730 eV/atom
**Formation energy from the elements**: 0.073 eV per atom

a = 9.1178 Å, b = 3.5769 Å, c = 11.9743 Å
α = 90.00°, β = 94.62°, γ = 90.00°
Closest atoms and distances in Å follow each position.
Fractional coordinates of all 11 atoms:
La: 0.0000 0.0000 0.0000  6 La 3.52-3.58, 4 Nd 3.74
La: 0.0660 0.0000 0.2934  1 Er 3.47, 4 La 3.52-3.61, 6 Nd 3.73-3.87
La: 0.3066 0.0000 0.8345  1 Er 3.45, 4 La 3.55-3.61, 4 Nd 3.69-3.77
La: 0.6934 0.0000 0.1655  1 Er 3.45, 4 La 3.55-3.61, 4 Nd 3.69-3.77
La: 0.9340 0.0000 0.7066  1 Er 3.47, 4 La 3.52-3.61, 6 Nd 3.73-3.87
Nd: 0.2216 0.5000 0.5499  2 Nd 3.58, 4 Er 3.58-3.62, 6 La 3.73-3.87
Nd: 0.3401 0.5000 0.1127  2 Er 3.57, 2 Nd 3.58, 8 La 3.69-3.87
Nd: 0.6599 0.5000 0.8873  2 Er 3.57, 2 Nd 3.58, 8 La 3.69-3.87
Nd: 0.7784 0.5000 0.4501  2 Nd 3.58, 4 Er 3.58-3.62, 6 La 3.73-3.87
Er: 0.4419 0.0000 0.3655  3 Er 3.31-3.58, 2 La 3.45-3.47, 6 Nd 3.57-3.62
Er: 0.5581 0.0000 0.6345  3 Er 3.31-3.58, 2 La 3.45-3.47, 6 Nd 3.57-3.62



Entry 5:
Computed, not measured: KIrSe2 after structural relaxation at the PBE-GGA level of DFT.

Computed properties:
**Symmetry**: No. 225
**Raw formation energy**: 0.266 eV/atom
**VASP energy**: -3.966 eV/atom

a = 4.8203 Å, b = 4.8203 Å, c = 4.8203 Å
α = 60.00°, β = 60.00°, γ = 60.00°
Closest atoms and distances in Å follow each position.
Fractional coordinates of all 4 atoms:
K: 0.0000 0.0000 0.0000  8 Se 2.95
Ir: 0.5000 0.5000 0.5000  8 Se 2.95
Se: 0.2500 0.2500 0.2500  4 Ir 2.95, 4 K 2.95
Se: 0.7500 0.7500 0.7500  4 Ir 2.95, 4 K 2.95



Entry 6:
Computed, not measured: Pr6Nd3Sm2 after structural relaxation at the PBE-GGA level of DFT.

Computed properties:
**Symmetry**: No. 139
**ΔE to the lowest computed polymorph**: 5.734 kcal/mol of atoms
**VASP energy**: -4.505 eV/atom
**Formation energy from the elements**: 0.260 eV per atom

a = 17.6256 Å, b = 17.6256 Å, c = 17.6256 Å
α = 164.20°, β = 164.20°, γ = 22.42°
Closest atoms and distances in Å follow each position.
Fractional coordinates of all 11 atoms:
Pr: 0.1194 0.6194 0.5000  4 Pr 3.43, 2 Sm 3.55, 2 Nd 3.56
Pr: 0.2056 0.2056 0.0000  5 Nd 3.44-3.45, 4 Pr 3.84
Pr: 0.3806 0.8806 0.5000  4 Pr 3.43, 2 Sm 3.55, 2 Nd 3.56
Pr: 0.6194 0.1194 0.5000  4 Pr 3.43, 2 Sm 3.55, 2 Nd 3.56
Pr: 0.7944 0.7944 0.0000  5 Nd 3.44-3.45, 4 Pr 3.84
Pr: 0.8806 0.3806 0.5000  4 Pr 3.43, 2 Sm 3.55, 2 Nd 3.56
Nd: 0.3050 0.3050 0.0000  9 Pr 3.44-3.56
Nd: 0.5000 0.5000 0.0000  8 Sm 3.76
Nd: 0.6950 0.6950 0.0000  9 Pr 3.44-3.56
Sm: 0.0445 0.0445 0.0000  1 Sm 3.08
Sm: 0.9555 0.9555 0.0000  1 Sm 3.08



Entry 7:
Computed, not measured: KTl6In2 after structural relaxation at the PBE-GGA level of DFT.

Computed properties:
**Symmetry**: No. 123
**ΔE to the lowest computed polymorph**: 0.293 kcal/mol of atoms
**VASP energy**: -2.318 eV/atom
**Formation energy from the elements**: -0.010 eV per atom

a = 5.3092 Å, b = 5.3092 Å, c = 10.5561 Å
α = 90.00°, β = 90.00°, γ = 90.00°
Closest atoms and distances in Å follow each position.
Fractional coordinates of all 9 atoms:
K: 0.0000 0.0000 0.0000  8 In 4.03, 8 Tl 4.08
Tl: 0.0000 0.0000 0.5000  12 Tl 3.43-3.75
Tl: 0.0000 0.5000 0.2937  2 In 3.12, 4 Tl 3.43
Tl: 0.0000 0.5000 0.7063  2 In 3.12, 4 Tl 3.43
Tl: 0.5000 0.0000 0.2937  2 In 3.12, 4 Tl 3.43
Tl: 0.5000 0.0000 0.7063  2 In 3.12, 4 Tl 3.43
Tl: 0.5000 0.5000 0.5000  12 Tl 3.43-3.75, 2 In 3.82
In: 0.5000 0.5000 0.1384  1 In 2.92, 4 Tl 3.12
In: 0.5000 0.5000 0.8616  1 In 2.92, 4 Tl 3.12



Entry 8:
Computed, not measured: TmPa3N4 after structural relaxation at the PBE-GGA level of DFT.

Computed properties:
**Symmetry**: No. 13
**Raw formation energy**: -1.660 eV/atom
**VASP energy**: -9.943 eV/atom

a = 6.0326 Å, b = 6.9506 Å, c = 6.0068 Å
α = 90.00°, β = 109.48°, γ = 90.00°
Closest atoms and distances in Å follow each position.
Fractional coordinates of all 16 atoms:
Tm: 0.0000 0.1242 0.2500  6 N 2.41-2.45
Tm: 0.0000 0.8758 0.7500  6 N 2.41-2.45
Pa: 0.0000 0.3742 0.7500  6 N 2.44-2.47
Pa: 0.0000 0.6258 0.2500  6 N 2.44-2.47
Pa: 0.5000 0.1242 0.7500  6 N 2.46-2.47
Pa: 0.5000 0.3744 0.2500  6 N 2.47-2.51
Pa: 0.5000 0.6256 0.7500  6 N 2.47-2.51
Pa: 0.5000 0.8758 0.2500  6 N 2.46-2.47
N: 0.2442 0.3699 0.4971  1 Tm 2.41, 5 Pa 2.44-2.51
N: 0.2442 0.6301 0.9971  1 Tm 2.41, 5 Pa 2.44-2.51
N: 0.2466 0.1232 0.9986  2 Tm 2.43-2.45, 4 Pa 2.45-2.48
N: 0.2466 0.8768 0.4986  2 Tm 2.43-2.45, 4 Pa 2.45-2.48
N: 0.7534 0.1232 0.5014  2 Tm 2.43-2.45, 4 Pa 2.45-2.48
N: 0.7534 0.8768 0.0014  2 Tm 2.43-2.45, 4 Pa 2.45-2.48
N: 0.7558 0.3699 0.0029  1 Tm 2.41, 5 Pa 2.44-2.51
N: 0.7558 0.6301 0.5029  1 Tm 2.41, 5 Pa 2.44-2.51



Entry 9:
Computed, not measured: PmInHgRh after structural relaxation at the PBE-GGA level of DFT.

Computed properties:
**Symmetry**: No. 216
**VASP energy**: -4.174 eV/atom
**Formation energy from the elements**: -0.388 eV per atom

a = 4.9924 Å, b = 4.9924 Å, c = 4.9924 Å
α = 60.00°, β = 60.00°, γ = 60.00°
Closest atoms and distances in Å follow each position.
Fractional coordinates of all 4 atoms:
Pm: 0.0000 0.0000 0.0000  4 Hg 3.06, 4 Rh 3.06
In: 0.5000 0.5000 0.5000  4 Hg 3.06, 4 Rh 3.06
Hg: 0.7500 0.7500 0.7500  4 In 3.06, 4 Pm 3.06
Rh: 0.2500 0.2500 0.2500  4 In 3.06, 4 Pm 3.06



Entry 10:
Computed, not measured: Te2PPbI after structural relaxation at the PBE-GGA level of DFT.

Computed properties:
**Symmetry**: No. 123
**ΔE to the lowest computed polymorph**: 17.361 kcal/mol of atoms
**Raw formation energy**: 0.931 eV/atom
**VASP energy**: -2.459 eV/atom

a = 6.0258 Å, b = 6.0258 Å, c = 6.1456 Å
α = 90.00°, β = 90.00°, γ = 90.00°
Closest atoms and distances in Å follow each position.
Fractional coordinates of all 5 atoms:
Te: 0.0000 0.5000 0.0000  2 Pb 3.01
Te: 0.5000 0.0000 0.0000  2 Pb 3.01
P: 0.0000 0.0000 0.5000  4 I 4.26, 8 Te 4.30
Pb: 0.5000 0.5000 0.0000  4 Te 3.01, 2 I 3.07
I: 0.5000 0.5000 0.5000  2 Pb 3.07



Entry 11:
Computed, not measured: Li2DyHo2Mg5 after structural relaxation at the PBE-GGA level of DFT.

Computed properties:
**Symmetry**: No. 127
**VASP energy**: -2.571 eV/atom
**Formation energy from the elements**: -0.015 eV per atom

a = 10.5287 Å, b = 10.5287 Å, c = 4.4094 Å
α = 90.00°, β = 90.00°, γ = 90.00°
Closest atoms and distances in Å follow each position.
Fractional coordinates of all 20 atoms:
Li: 0.1150 0.3850 0.0000  6 Mg 2.79-2.90, 1 Ho 3.06
Li: 0.3850 0.8850 0.0000  6 Mg 2.79-2.90, 1 Ho 3.06
Li: 0.6150 0.1150 0.0000  6 Mg 2.79-2.90, 1 Ho 3.06
Li: 0.8850 0.6150 0.0000  6 Mg 2.79-2.90, 1 Ho 3.06
Dy: 0.0000 0.0000 0.0000  8 Mg 3.22
Dy: 0.5000 0.5000 0.0000  8 Mg 3.22
Ho: 0.1797 0.6797 0.0000  3 Li 3.06-3.18
Ho: 0.3203 0.1797 0.0000  3 Li 3.06-3.18
Ho: 0.6797 0.8203 0.0000  3 Li 3.06-3.18
Ho: 0.8203 0.3203 0.0000  3 Li 3.06-3.18
Mg: 0.0000 0.5000 0.5000  4 Li 2.79, 4 Mg 3.09
Mg: 0.0636 0.2139 0.5000  2 Li 2.90, 1 Mg 3.09, 2 Dy 3.22
Mg: 0.2139 0.9364 0.5000  2 Li 2.90, 1 Mg 3.09, 2 Dy 3.22
Mg: 0.2861 0.4364 0.5000  2 Li 2.90, 1 Mg 3.09, 2 Dy 3.22
Mg: 0.4364 0.7139 0.5000  2 Li 2.90, 1 Mg 3.09, 2 Dy 3.22
Mg: 0.5000 0.0000 0.5000  4 Li 2.79, 4 Mg 3.09
Mg: 0.5636 0.2861 0.5000  2 Li 2.90, 1 Mg 3.09, 2 Dy 3.22
Mg: 0.7139 0.5636 0.5000  2 Li 2.90, 1 Mg 3.09, 2 Dy 3.22
Mg: 0.7861 0.0636 0.5000  2 Li 2.90, 1 Mg 3.09, 2 Dy 3.22
Mg: 0.9364 0.7861 0.5000  2 Li 2.90, 1 Mg 3.09, 2 Dy 3.22



- The highest VASP energy belongs to which entry?
  KTl6In2



Repeat the sixth record exactly.
Computed, not measured: Pr6Nd3Sm2 after structural relaxation at the PBE-GGA level of DFT.

Computed properties:
**Symmetry**: No. 139
**ΔE to the lowest computed polymorph**: 5.734 kcal/mol of atoms
**VASP energy**: -4.505 eV/atom
**Formation energy from the elements**: 0.260 eV per atom

a = 17.6256 Å, b = 17.6256 Å, c = 17.6256 Å
α = 164.20°, β = 164.20°, γ = 22.42°
Closest atoms and distances in Å follow each position.
Fractional coordinates of all 11 atoms:
Pr: 0.1194 0.6194 0.5000  4 Pr 3.43, 2 Sm 3.55, 2 Nd 3.56
Pr: 0.2056 0.2056 0.0000  5 Nd 3.44-3.45, 4 Pr 3.84
Pr: 0.3806 0.8806 0.5000  4 Pr 3.43, 2 Sm 3.55, 2 Nd 3.56
Pr: 0.6194 0.1194 0.5000  4 Pr 3.43, 2 Sm 3.55, 2 Nd 3.56
Pr: 0.7944 0.7944 0.0000  5 Nd 3.44-3.45, 4 Pr 3.84
Pr: 0.8806 0.3806 0.5000  4 Pr 3.43, 2 Sm 3.55, 2 Nd 3.56
Nd: 0.3050 0.3050 0.0000  9 Pr 3.44-3.56
Nd: 0.5000 0.5000 0.0000  8 Sm 3.76
Nd: 0.6950 0.6950 0.0000  9 Pr 3.44-3.56
Sm: 0.0445 0.0445 0.0000  1 Sm 3.08
Sm: 0.9555 0.9555 0.0000  1 Sm 3.08



- Which value of VASP energy does entry 5 give?
  -3.966 eV/atom



- Number 11 is which compound?
  Li2DyHo2Mg5